FeW2Cl10: relaxed, GGA-PBEsol.

It has space group C2/c (No. 15), with a = 5.939 Å, b = 16.068 Å, c = 12.239 Å, α = 90.00°, β = 100.60° and γ = 90.00°. The distinct sites, in fractional coordinates, are Fe at (0.000, 0.050, 0.250), W at (0.000, 0.268, 0.250), W at (0.000, 0.433, 0.250), Cl at (0.109, 0.151, 0.143), Cl at (0.127, 0.350, 0.115), Cl at (0.128, 0.049, 0.644), Cl at (0.142, 0.455, 0.645) and Cl at (0.144, 0.244, 0.641).

The magnetic moment comes out at 3.456 μB per cell. As for the crystal system: monoclinic. Its raw formation energy is -0.7559 eV per atom. The calculated total energy comes out at -5.114 eV per atom.

YFe2Cl: relaxed, GGA-PBEsol.

It has space group P4/mmm (No. 123), with a = 3.051 Å, b = 3.051 Å, c = 7.404 Å, α = 90.00°, β = 90.00° and γ = 90.00°. The distinct sites, in fractional coordinates, are Y at (0.000, 0.000, 0.000), Fe at (0.500, 0.500, 0.291) and Cl at (0.000, 0.000, 0.500).

As for the energy above the most stable polymorph in this dataset: 139 kJ/mol of formula units. The magnetic moment comes out at 5.715 μB per cell. As for the crystal system: tetragonal. Its raw formation energy is 0.3956 eV per atom. The calculated total energy comes out at -6.294 eV per atom.

YFe2Cl: relaxed, GGA-PBEsol.

It has space group P2/m (No. 10), with a = 3.195 Å, b = 4.927 Å, c = 4.148 Å, α = 90.00°, β = 90.84° and γ = 90.00°. The distinct sites, in fractional coordinates, are Y at (0.000, 0.000, 0.000), Fe at (0.307, 0.500, 0.749) and Cl at (0.500, 0.000, 0.500).

As for the energy above the most stable polymorph in this dataset: 0 kJ/mol of formula units. The magnetic moment comes out at 4.493 μB per cell. As for the crystal system: monoclinic. Its raw formation energy is 0.0346 eV per atom. The calculated total energy comes out at -6.655 eV per atom.

ZnFeCl3: relaxed, GGA-PBEsol.

It has space group Pm-3m (No. 221), with a = 4.681 Å, b = 4.681 Å, c = 4.681 Å, α = 90.00°, β = 90.00° and γ = 90.00°. The distinct sites, in fractional coordinates, are Zn at (0.000, 0.000, 0.000), Fe at (0.500, 0.500, 0.500) and Cl at (0.000, 0.500, 0.500).

The magnetic moment comes out at 3.549 μB per cell. As for the crystal system: cubic. Its raw formation energy is -0.2661 eV per atom. The calculated total energy comes out at -3.580 eV per atom.